Entry 1:
This record from OQMD describes GaGeW4N2 after structural relaxation. The functional is PBE.

## Properties
As for the volume: 103.92 Å³/f.u. The space group is P-6m2. As for the density: 14.473 g/cm3. For the total energy, the calculation gives -74.72 eV for the cell shown.

a = 2.862 Å, b = 2.862 Å, c = 14.648 Å
α = 90.00°, β = 90.00°, γ = 120.00°
Positions (direct):
1 Ga 0.000 0.000 0.000
2 Ge 0.667 0.333 0.500
3 N 0.333 0.667 0.252
4 N 0.333 0.667 0.748
5 W 0.667 0.333 0.153
6 W 0.000 0.000 0.351
7 W 0.000 0.000 0.649
8 W 0.667 0.333 0.847

=====

Entry 2:
This record from OQMD describes Na2Nb2GaGeOs2 after structural relaxation. The functional is PBE.

## Properties
As for the volume: 127.40 Å³/f.u. The space group is P-4m2. As for the density: 9.836 g/cm3. For the total energy, the calculation gives -51.89 eV for the cell shown.

a = 4.483 Å, b = 4.483 Å, c = 6.338 Å
α = 90.00°, β = 90.00°, γ = 90.00°
Positions (direct):
1 Ga 0.500 0.500 0.000
2 Ge 0.000 0.000 0.500
3 Na 0.000 0.500 0.248
4 Na 0.500 0.000 0.752
5 Nb 0.000 0.000 0.000
6 Nb 0.500 0.500 0.500
7 Os 0.500 0.000 0.253
8 Os 0.000 0.500 0.747

=====

Entry 3:
This record from OQMD describes NaGaNiGe after structural relaxation. The functional is PBE.

## Properties
As for the volume: 65.20 Å³/f.u. The space group is F-43m. As for the density: 5.706 g/cm3. The energy relative to the lowest polymorph listed for this composition is 52 kJ/mol of formula units. For the total energy, the calculation gives -13.83 eV for the cell shown.

a = 4.518 Å, b = 4.518 Å, c = 4.518 Å
α = 60.00°, β = 60.00°, γ = 60.00°
Positions (direct):
1 Ga 0.000 0.000 0.000
2 Ge 0.250 0.250 0.250
3 Na 0.750 0.750 0.750
4 Ni 0.500 0.500 0.500

=====

Entry 4:
This record from OQMD describes NaGaNiGe after structural relaxation. The functional is PBE.

## Properties
As for the volume: 65.42 Å³/f.u. The space group is F-43m. As for the density: 5.687 g/cm3. The energy relative to the lowest polymorph listed for this composition is 60 kJ/mol of formula units. For the total energy, the calculation gives -13.75 eV for the cell shown.

a = 4.523 Å, b = 4.523 Å, c = 4.523 Å
α = 60.00°, β = 60.00°, γ = 60.00°
Positions (direct):
1 Ga 0.250 0.250 0.250
2 Ge 0.000 0.000 0.000
3 Na 0.750 0.750 0.750
4 Ni 0.500 0.500 0.500

=====

Entry 5:
This record from OQMD describes NaGaNiGe after structural relaxation. The functional is PBE.

## Properties
As for the volume: 62.27 Å³/f.u. The space group is F-43m. As for the density: 5.975 g/cm3. The energy relative to the lowest polymorph listed for this composition is 0 kJ/mol of formula units. For the total energy, the calculation gives -14.37 eV for the cell shown.

a = 4.449 Å, b = 4.449 Å, c = 4.449 Å
α = 60.00°, β = 60.00°, γ = 60.00°
Positions (direct):
1 Ga 0.500 0.500 0.500
2 Ge 0.000 0.000 0.000
3 Na 0.750 0.750 0.750
4 Ni 0.250 0.250 0.250

=====

Entry 6:
This record from OQMD describes NaGaGePd after structural relaxation. The functional is PBE.

## Properties
As for the volume: 69.87 Å³/f.u. The space group is F-43m. As for the density: 6.459 g/cm3. The energy relative to the lowest polymorph listed for this composition is 35 kJ/mol of formula units. For the total energy, the calculation gives -14.51 eV for the cell shown.

a = 4.623 Å, b = 4.623 Å, c = 4.623 Å
α = 60.00°, β = 60.00°, γ = 60.00°
Positions (direct):
1 Ga 0.250 0.250 0.250
2 Ge 0.000 0.000 0.000
3 Na 0.750 0.750 0.750
4 Pd 0.500 0.500 0.500

=====

Entry 7:
This record from OQMD describes NaGaGePd after structural relaxation. The functional is PBE.

## Properties
As for the volume: 68.00 Å³/f.u. The space group is F-43m. As for the density: 6.636 g/cm3. The energy relative to the lowest polymorph listed for this composition is 0 kJ/mol of formula units. For the total energy, the calculation gives -14.86 eV for the cell shown.

a = 4.582 Å, b = 4.582 Å, c = 4.582 Å
α = 60.00°, β = 60.00°, γ = 60.00°
Positions (direct):
1 Ga 0.500 0.500 0.500
2 Ge 0.000 0.000 0.000
3 Na 0.750 0.750 0.750
4 Pd 0.250 0.250 0.250

=====

Entry 8:
This record from OQMD describes NaGaGePd after structural relaxation. The functional is PBE.

## Properties
As for the volume: 70.36 Å³/f.u. The space group is F-43m. As for the density: 6.414 g/cm3. The energy relative to the lowest polymorph listed for this composition is 34 kJ/mol of formula units. For the total energy, the calculation gives -14.51 eV for the cell shown.

a = 4.634 Å, b = 4.634 Å, c = 4.634 Å
α = 60.00°, β = 60.00°, γ = 60.00°
Positions (direct):
1 Ga 0.000 0.000 0.000
2 Ge 0.250 0.250 0.250
3 Na 0.750 0.750 0.750
4 Pd 0.500 0.500 0.500